The following is a PBE calculation of a relaxed CaTiP2 crystal, from Alexandria.

```
CaTiP2
1.0
6.800 0.000 0.000
0.000 6.800 0.000
3.400 3.400 4.067
P Ca Ti
4 2 2
Cartesian
5.476 1.700 1.017 P
5.100 4.723 3.050 P
1.324 5.100 1.017 P
8.500 8.876 3.050 P
3.400 6.800 2.034 Ca
3.400 3.400 0.000 Ca
6.800 3.400 2.034 Ti
0.000 0.000 0.000 Ti
```

Energy of formation in eV/atom: -0.768
Offset from the most stable computed form in meV/atom: 307
Total DFT energy (no corrections) in eV/atom: -5.9467
DOS at the Fermi energy in states/eV/f.u.: 0.00


The following is a PBE calculation of a relaxed Cs2Si2PbS6 crystal, from Alexandria.

```
Cs2Si2PbS6
1.0
7.268 0.000 0.000
3.634 6.294 0.000
3.634 2.098 8.161
S Cs Pb Si
6 2 1 2
Cartesian
9.039 5.219 2.060 S
5.497 5.219 2.060 S
7.268 6.241 6.101 S
9.039 3.173 6.101 S
7.268 2.151 2.060 S
5.497 3.173 6.101 S
10.902 6.294 5.300 Cs
3.634 2.098 2.861 Cs
0.000 0.000 0.000 Pb
7.268 4.196 6.210 Si
7.268 4.196 1.951 Si
```

Formation energy from raw total energies in meV per atom: -787
Total DFT energy (no corrections) in eV/atom: -4.5162


The following is a PBE calculation of a relaxed ReNiHg crystal, from Alexandria.

```
ReNiHg
1.0
-1.005 1.731 -1.937
0.194 -4.380 -3.974
-4.998 -1.237 3.020
Ni Hg Re
2 2 2
Cartesian
-0.392 -2.217 -3.778 Ni
-5.417 -1.669 0.887 Ni
-1.547 -0.394 0.405 Hg
-4.262 -3.492 -3.296 Hg
-1.569 -2.634 -1.410 Re
-4.240 -1.252 -1.481 Re
```

Energy of formation in eV/atom: 0.408
Offset from the most stable computed form in meV/atom: 151
Total DFT energy (no corrections) in eV/atom: -5.7695
DOS at the Fermi energy in states/eV/f.u.: 1.98


The following is a PBE calculation of a relaxed NaCd4Pb2 crystal, from Alexandria.

```
NaCd4Pb2
1.0
-0.281 1.371 5.005
4.025 -2.616 -1.756
9.061 4.442 -0.709
Na Pb Cd
1 2 4
Cartesian
4.531 2.221 -0.354 Na
9.833 3.747 2.223 Pb
2.972 -0.550 0.317 Pb
7.843 2.244 -0.175 Cd
4.962 0.953 2.716 Cd
6.315 -0.484 0.487 Cd
6.490 3.681 2.054 Cd
```

Energy of formation in eV/atom: -0.026
Total DFT energy (no corrections) in eV/atom: -1.7967
DOS at the Fermi energy in states/eV/f.u.: 2.92


- Which of these has the highest total DFT energy (no corrections)?
  NaCd4Pb2